Entry 1:
First-principles (PBE-GGA) data for a relaxed PdF4 crystal, as listed in Alexandria.

Values from the calculation:
The value obtained for the energy relative to the elements, uncorrected is -0.76 eV per atom. The crystal system is cubic.

```
data_PdF4
_symmetry_space_group_name_H-M 'P 1'
_symmetry_Int_Tables_number 1
_symmetry_space_group_name_Hall 'P 1'
_cell_length_a 4.0375
_cell_length_b 4.0375
_cell_length_c 4.0375
_cell_angle_alpha 90.00
_cell_angle_beta 90.00
_cell_angle_gamma 90.00
loop_
_atom_site_label
_atom_site_type_symbol
_atom_site_fract_x
_atom_site_fract_y
_atom_site_fract_z
_atom_site_occupancy
F1 F 0.0000 0.0000 0.0000 1
F2 F 0.5000 0.0000 0.5000 1
Pd1 Pd 0.5000 0.5000 0.5000 1
F3 F 0.5000 0.5000 0.0000 1
F4 F 0.0000 0.5000 0.5000 1
```

Entry 2:
First-principles (PBE-GGA) data for a relaxed La3Ho2ScSe6 crystal, as listed in Alexandria.

Values from the calculation:
The value obtained for the energy relative to the elements, uncorrected is -1.84 eV per atom. The crystal system is monoclinic.

```
data_La3Ho2ScSe6
_symmetry_space_group_name_H-M 'P 1'
_symmetry_Int_Tables_number 1
_symmetry_space_group_name_Hall 'P 1'
_cell_length_a 4.0983
_cell_length_b 8.4354
_cell_length_c 9.3494
_cell_angle_alpha 104.84
_cell_angle_beta 102.66
_cell_angle_gamma 90.00
loop_
_atom_site_label
_atom_site_type_symbol
_atom_site_fract_x
_atom_site_fract_y
_atom_site_fract_z
_atom_site_occupancy
La1 La 0.8316 0.1648 0.6633 1
Ho1 Ho 0.8344 0.6683 0.6689 1
Se1 Se 0.0031 0.2289 0.0061 1
Se2 Se 0.6715 0.5715 0.3430 1
Se3 Se 0.3422 0.9074 0.6845 1
Se4 Se 0.6578 0.0926 0.3155 1
Ho2 Ho 0.1656 0.3317 0.3311 1
La2 La 0.1684 0.8352 0.3367 1
Sc1 Sc 0.5000 0.0000 0.0000 1
La3 La 0.5000 0.5000 0.0000 1
Se5 Se 0.3285 0.4285 0.6570 1
Se6 Se 0.9969 0.7711 0.9939 1
```

Entry 3:
First-principles (PBE-GGA) data for a relaxed Hg2OsW crystal, as listed in Alexandria.

Values from the calculation:
The formation energy is 0.446 eV/atom. The crystal system is trigonal.

```
data_Hg2OsW
_symmetry_space_group_name_H-M 'P 1'
_symmetry_Int_Tables_number 1
_symmetry_space_group_name_Hall 'P 1'
_cell_length_a 10.4669
_cell_length_b 10.4669
_cell_length_c 10.4669
_cell_angle_alpha 15.89
_cell_angle_beta 15.89
_cell_angle_gamma 15.89
loop_
_atom_site_label
_atom_site_type_symbol
_atom_site_fract_x
_atom_site_fract_y
_atom_site_fract_z
_atom_site_occupancy
W1 W 0.7589 0.7589 0.7589 1
Hg1 Hg 0.2418 0.2418 0.2418 1
Os1 Os 0.4913 0.4913 0.4913 1
Hg2 Hg 0.0080 0.0080 0.0080 1
```

Entry 4:
First-principles (PBE-GGA) data for a relaxed Gd2ErAu crystal, as listed in Alexandria.

Values from the calculation:
The formation energy is 0.136 eV/atom. The crystal system is trigonal.

```
data_Gd2ErAu
_symmetry_space_group_name_H-M 'P 1'
_symmetry_Int_Tables_number 1
_symmetry_space_group_name_Hall 'P 1'
_cell_length_a 3.4953
_cell_length_b 3.4953
_cell_length_c 11.5220
_cell_angle_alpha 81.28
_cell_angle_beta 81.28
_cell_angle_gamma 60.00
loop_
_atom_site_label
_atom_site_type_symbol
_atom_site_fract_x
_atom_site_fract_y
_atom_site_fract_z
_atom_site_occupancy
Au1 Au 0.0000 0.0000 0.0000 1
Er1 Er 0.5000 0.5000 0.5000 1
Gd1 Gd 0.0835 0.0835 0.7494 1
Gd2 Gd 0.9165 0.9165 0.2506 1
```

no.,size of the total moment (μB per cell),Fermi-level density of states (states/eV/atom),total energy (eV/atom)
1,1.5,1.7861,-3.294
2,0.0,0.5166,-6.101
3,0.0,0.7750,-5.751
4,14.7,1.3481,-8.864